[1]
Material: KYAs2O6
Method: DFT, PBE-GGA
State: optimized geometry

```
data_KYAs2O6
_space_group_name_H-M_alt 'P 1'
_space_group_IT_number 1
_space_group_name_Hall 'P 1'
_cell_length_a 6.851
_cell_length_b 6.851
_cell_length_c 6.851
_cell_angle_alpha 49.83
_cell_angle_beta 49.83
_cell_angle_gamma 49.83
loop_
_atom_site_label
_atom_site_type_symbol
_atom_site_fract_x
_atom_site_fract_y
_atom_site_fract_z
K1 K 0.000 0.000 0.000
Y1 Y 0.500 0.500 0.500
As1 As 0.268 0.268 0.268
As2 As 0.732 0.732 0.732
O1 O 0.070 0.710 0.504
O2 O 0.290 0.496 0.930
O3 O 0.496 0.930 0.290
O4 O 0.504 0.070 0.710
O5 O 0.710 0.504 0.070
O6 O 0.930 0.290 0.496
```

Results
Formation energy without anion corrections = -1.78 eV per atom
Space group = R-3 (148)

[2]
Material: K2YAsO
Method: DFT, PBE-GGA
State: optimized geometry

```
data_K2YAsO
_space_group_name_H-M_alt 'P 1'
_space_group_IT_number 1
_space_group_name_Hall 'P 1'
_cell_length_a 5.054
_cell_length_b 5.054
_cell_length_c 4.660
_cell_angle_alpha 90.00
_cell_angle_beta 90.00
_cell_angle_gamma 90.00
loop_
_atom_site_label
_atom_site_type_symbol
_atom_site_fract_x
_atom_site_fract_y
_atom_site_fract_z
K1 K 0.000 0.500 0.000
K2 K 0.500 0.000 0.000
Y1 Y 0.000 0.000 0.500
As1 As 0.500 0.500 0.500
O1 O 0.000 0.000 0.000
```

Results
Formation energy without anion corrections = -1.09 eV per atom
Space group = P4/mmm (123)

[3]
Material: KZn2AsO6
Method: DFT, PBE-GGA
State: optimized geometry

```
data_KZn2AsO6
_space_group_name_H-M_alt 'P 1'
_space_group_IT_number 1
_space_group_name_Hall 'P 1'
_cell_length_a 7.705
_cell_length_b 7.705
_cell_length_c 6.504
_cell_angle_alpha 107.20
_cell_angle_beta 107.20
_cell_angle_gamma 99.13
loop_
_atom_site_label
_atom_site_type_symbol
_atom_site_fract_x
_atom_site_fract_y
_atom_site_fract_z
K1 K 0.117 0.883 0.750
K2 K 0.883 0.117 0.250
Zn1 Zn 0.263 0.434 0.923
Zn2 Zn 0.434 0.263 0.423
Zn3 Zn 0.566 0.737 0.577
Zn4 Zn 0.737 0.566 0.077
As1 As 0.182 0.818 0.250
As2 As 0.818 0.182 0.750
O1 O 0.040 0.219 0.731
O2 O 0.184 0.666 0.999
O3 O 0.219 0.040 0.231
O4 O 0.334 0.816 0.501
O5 O 0.397 0.433 0.697
O6 O 0.433 0.397 0.197
O7 O 0.567 0.603 0.803
O8 O 0.603 0.567 0.303
O9 O 0.666 0.184 0.499
O10 O 0.781 0.960 0.769
O11 O 0.816 0.334 0.001
O12 O 0.960 0.781 0.269
```

Results
Formation energy without anion corrections = -1.27 eV per atom
Space group = C2/c (15)

[4]
Material: KZnAs2O6
Method: DFT, PBE-GGA
State: optimized geometry

```
data_KZnAs2O6
_space_group_name_H-M_alt 'P 1'
_space_group_IT_number 1
_space_group_name_Hall 'P 1'
_cell_length_a 7.773
_cell_length_b 7.773
_cell_length_c 6.421
_cell_angle_alpha 111.21
_cell_angle_beta 111.21
_cell_angle_gamma 87.25
loop_
_atom_site_label
_atom_site_type_symbol
_atom_site_fract_x
_atom_site_fract_y
_atom_site_fract_z
K1 K 0.135 0.865 0.750
K2 K 0.865 0.135 0.250
Zn1 Zn 0.210 0.790 0.250
Zn2 Zn 0.790 0.210 0.750
As1 As 0.230 0.376 0.894
As2 As 0.376 0.230 0.394
As3 As 0.624 0.770 0.606
As4 As 0.770 0.624 0.106
O1 O 0.040 0.214 0.722
O2 O 0.166 0.598 0.935
O3 O 0.214 0.040 0.222
O4 O 0.335 0.369 0.205
O5 O 0.369 0.335 0.705
O6 O 0.402 0.834 0.565
O7 O 0.598 0.166 0.435
O8 O 0.631 0.665 0.295
O9 O 0.665 0.631 0.795
O10 O 0.786 0.960 0.778
O11 O 0.834 0.402 0.065
O12 O 0.960 0.786 0.278
```

Results
Formation energy without anion corrections = -1.31 eV per atom
Space group = C2/c (15)

no.,calculated volume (Å³ per cell)
1,172.7
2,119.0
3,339.3
4,335.6